[1]
First-principles (meta-GGA SCAN) data for MgTa3Cr at its PBEsol-relaxed geometry, as listed in Alexandria.

Energy of formation = 0.91 eV per atom
DOS(E_F) = 2.7 states/eV/f.u.

Lattice parameters (Å, degrees): 4.610 4.610 4.610 90.00 90.00 90.00
Fractional positions:
Cr 0.000 0.000 0.000
Ta 0.000 0.500 0.000
Ta 0.500 0.000 0.000
Ta 0.000 0.000 0.500
Mg 0.500 0.500 0.500


[2]
First-principles (meta-GGA SCAN) data for Ca4BeMo at its PBEsol-relaxed geometry, as listed in Alexandria.

Energy of formation = 1.23 eV per atom
DOS(E_F) = 3.4 states/eV/f.u.

Lattice parameters (Å, degrees): 6.194 6.194 6.194 60.00 60.00 60.00
Site moments in Bohr magnetons follow the coordinates.
Fractional positions:
Ca 0.375 0.375 0.375  -0.01
Mo 0.750 0.750 0.750  3.53
Be 0.000 0.000 0.000  -0.07
Ca 0.375 0.874 0.375  -0.01
Ca 0.874 0.375 0.375  -0.01
Ca 0.375 0.375 0.874  -0.01


[3]
First-principles (meta-GGA SCAN) data for Mo15Se19 at its PBEsol-relaxed geometry, as listed in Alexandria.

DOS(E_F) = 19.5 states/eV/f.u.
E_form (uncorrected) = -529 meV/atom

Lattice parameters (Å, degrees): 9.404 9.404 19.542 90.00 90.00 120.00
Fractional positions:
Se 0.000 0.000 0.338
Se 0.626 0.001 0.644
Se 0.332 0.038 0.548
Se 0.707 0.668 0.548
Se 0.001 0.375 0.356
Mo 0.978 0.151 0.060
Mo 0.689 0.182 0.133
Se 0.333 0.667 0.969
Se 0.001 0.375 0.144
Mo 0.652 0.489 0.250
Se 0.374 0.999 0.356
Mo 0.311 0.818 0.633
Se 0.293 0.332 0.452
Se 0.036 0.336 0.750
Se 0.999 0.625 0.644
Mo 0.826 0.978 0.940
Se 0.962 0.293 0.952
Se 0.668 0.962 0.452
Se 0.668 0.962 0.048
Se 0.336 0.300 0.250
Se 0.667 0.333 0.469
Se 0.332 0.038 0.952
Mo 0.151 0.174 0.560
Se 0.000 0.000 0.838
Mo 0.348 0.511 0.750
Se 0.999 0.625 0.856
Mo 0.826 0.978 0.560
Mo 0.511 0.163 0.250
Mo 0.689 0.182 0.367
Se 0.038 0.707 0.452
Mo 0.978 0.151 0.440
Se 0.964 0.664 0.250
Mo 0.174 0.022 0.060
Se 0.700 0.036 0.250
Mo 0.818 0.507 0.367
Mo 0.493 0.311 0.133
Mo 0.022 0.849 0.940
Se 0.374 0.999 0.144
Mo 0.849 0.826 0.440
Se 0.000 0.000 0.162
Mo 0.818 0.507 0.133
Se 0.038 0.707 0.048
Mo 0.849 0.826 0.060
Se 0.000 0.000 0.662
Mo 0.507 0.689 0.867
Mo 0.507 0.689 0.633
Mo 0.182 0.493 0.633
Mo 0.022 0.849 0.560
Mo 0.837 0.348 0.250
Se 0.707 0.668 0.952
Mo 0.151 0.174 0.940
Mo 0.493 0.311 0.367
Se 0.626 0.001 0.856
Se 0.375 0.374 0.856
Se 0.667 0.333 0.031
Se 0.962 0.293 0.548
Mo 0.182 0.493 0.867
Mo 0.311 0.818 0.867
Mo 0.174 0.022 0.440
Se 0.375 0.374 0.644
Mo 0.163 0.652 0.750
Se 0.664 0.700 0.750
Se 0.625 0.626 0.144
Se 0.625 0.626 0.356
Mo 0.489 0.837 0.750
Se 0.293 0.332 0.048
Se 0.300 0.964 0.750
Se 0.333 0.667 0.531


[4]
First-principles (meta-GGA SCAN) data for TaFe2F at its PBEsol-relaxed geometry, as listed in Alexandria.

DOS(E_F) = 4.3 states/eV/f.u.
E_form (uncorrected) = 410 meV/atom

Lattice parameters (Å, degrees): 4.133 4.133 4.133 60.00 60.00 60.00
Site moments in Bohr magnetons follow the coordinates.
Fractional positions:
Ta 0.500 0.500 0.500  -0.77
Fe 0.250 0.250 0.250  2.50
Fe 0.750 0.750 0.750  2.50
F 0.000 0.000 0.000  0.04


[5]
First-principles (meta-GGA SCAN) data for SbTeAu2 at its PBEsol-relaxed geometry, as listed in Alexandria.

Distance to the lowest polymorph of the same formula = 286 meV per atom
DOS(E_F) = 1.5 states/eV/f.u.
E_form (uncorrected) = 136 meV/atom

Lattice parameters (Å, degrees): 3.098 3.960 7.302 90.00 90.00 90.00
Fractional positions:
Au 0.500 0.500 0.235
Au 0.000 0.000 0.035
Te 0.500 0.500 0.797
Sb 0.000 0.000 0.434


[6]
First-principles (meta-GGA SCAN) data for AlP2Pb at its PBEsol-relaxed geometry, as listed in Alexandria.

Distance to the lowest polymorph of the same formula = 75 meV per atom
Energy of formation = -0.08 eV per atom
DOS(E_F) = 1.7 states/eV/f.u.

Lattice parameters (Å, degrees): 3.785 3.785 6.661 73.49 73.49 60.00
Fractional positions:
Pb 0.000 0.000 0.000
P 0.234 0.234 0.297
Al 0.500 0.500 0.500
P 0.766 0.766 0.703


Please write out number 4 again, unchanged.
First-principles (meta-GGA SCAN) data for TaFe2F at its PBEsol-relaxed geometry, as listed in Alexandria.

DOS(E_F) = 4.3 states/eV/f.u.
E_form (uncorrected) = 410 meV/atom

Lattice parameters (Å, degrees): 4.133 4.133 4.133 60.00 60.00 60.00
Site moments in Bohr magnetons follow the coordinates.
Fractional positions:
Ta 0.500 0.500 0.500  -0.77
Fe 0.250 0.250 0.250  2.50
Fe 0.750 0.750 0.750  2.50
F 0.000 0.000 0.000  0.04